#1
# PmYC PBE relaxed
# Total moment in μB/cell: 0.00
data_PmYC
_space_group_name_H-M_alt 'P 3 m 1'
_space_group_IT_number 156
_cell_length_a 3.6243
_cell_length_b 3.6243
_cell_length_c 6.4503
_cell_angle_alpha 90.00
_cell_angle_beta 90.00
_cell_angle_gamma 120.00
loop_
_space_group_symop_operation_xyz
'x,y,z'
'-y,x-y,z'
'-x+y,-x,z'
'-y,-x,z'
'-x+y,y,z'
'x,x-y,z'
loop_
_atom_site_label
_atom_site_type_symbol
_atom_site_fract_x
_atom_site_fract_y
_atom_site_fract_z
Pm1 Pm 0.0000 0.0000 0.0000
Y1 Y 0.3333 0.6667 0.4276
C1 C 0.6667 0.3333 0.2223


#2
# PmYC PBE relaxed
# Total moment in μB/cell: 0.00
data_PmYC
_space_group_name_H-M_alt 'F d d d'
_space_group_IT_number 70
_cell_length_a 8.383
_cell_length_b 10.189
_cell_length_c 12.222
_cell_angle_alpha 90.00
_cell_angle_beta 90.00
_cell_angle_gamma 90.00
loop_
_space_group_symop_operation_xyz
'x,y,z'
'-x,-y,-z'
'-x+1/4,-y+1/4,z'
'x+1/4,y+1/4,-z'
'x,-y+1/4,-z+1/4'
'-x,y+1/4,z+1/4'
'-x+1/4,y,-z+1/4'
'x+1/4,-y,z+1/4'
'x,y+1/2,z+1/2'
'-x,-y+1/2,-z+1/2'
'-x+1/4,-y+3/4,z+1/2'
'x+1/4,y+3/4,-z+1/2'
'x,-y+3/4,-z+3/4'
'-x,y+3/4,z+3/4'
'-x+1/4,y+1/2,-z+3/4'
'x+1/4,-y+1/2,z+3/4'
'x+1/2,y,z+1/2'
'-x+1/2,-y,-z+1/2'
'-x+3/4,-y+1/4,z+1/2'
'x+3/4,y+1/4,-z+1/2'
'x+1/2,-y+1/4,-z+3/4'
'-x+1/2,y+1/4,z+3/4'
'-x+3/4,y,-z+3/4'
'x+3/4,-y,z+3/4'
'x+1/2,y+1/2,z'
'-x+1/2,-y+1/2,-z'
'-x+3/4,-y+3/4,z'
'x+3/4,y+3/4,-z'
'x+1/2,-y+3/4,-z+1/4'
'-x+1/2,y+3/4,z+1/4'
'-x+3/4,y+1/2,-z+1/4'
'x+3/4,-y+1/2,z+1/4'
loop_
_atom_site_label
_atom_site_type_symbol
_atom_site_fract_x
_atom_site_fract_y
_atom_site_fract_z
Pm1 Pm 0.000 0.000 0.000
Y1 Y 0.125 0.125 0.490
C1 C 0.125 0.321 0.625


#3
# PmYC PBE relaxed
# Total moment in μB/cell: 1.34
data_PmYC
_space_group_name_H-M_alt 'C 1 2/m 1'
_space_group_IT_number 12
_cell_length_a 12.852
_cell_length_b 3.646
_cell_length_c 6.323
_cell_angle_alpha 90.00
_cell_angle_beta 99.68
_cell_angle_gamma 90.00
loop_
_space_group_symop_operation_xyz
'x,y,z'
'-x,-y,-z'
'-x,y,-z'
'x,-y,z'
'x+1/2,y+1/2,z'
'-x+1/2,-y+1/2,-z'
'-x+1/2,y+1/2,-z'
'x+1/2,-y+1/2,z'
loop_
_atom_site_label
_atom_site_type_symbol
_atom_site_fract_x
_atom_site_fract_y
_atom_site_fract_z
Pm1 Pm 0.112 0.000 0.371
Y1 Y 0.105 0.500 0.870
C1 C 0.000 0.000 0.000
C2 C 0.000 0.500 0.500


#4
# PmYC PBE relaxed
# Total moment in μB/cell: 0.00
data_PmYC
_space_group_name_H-M_alt 'P n m a'
_space_group_IT_number 62
_cell_length_a 12.217
_cell_length_b 3.638
_cell_length_c 6.342
_cell_angle_alpha 90.00
_cell_angle_beta 90.00
_cell_angle_gamma 90.00
loop_
_space_group_symop_operation_xyz
'x,y,z'
'-x,-y,-z'
'-x+1/2,-y,z+1/2'
'x+1/2,y,-z+1/2'
'x+1/2,-y+1/2,-z+1/2'
'-x+1/2,y+1/2,z+1/2'
'-x,y+1/2,-z'
'x,-y+1/2,z'
loop_
_atom_site_label
_atom_site_type_symbol
_atom_site_fract_x
_atom_site_fract_y
_atom_site_fract_z
Pm1 Pm 0.021 0.250 0.231
Y1 Y 0.232 0.250 0.861
C1 C 0.133 0.750 0.045


How far above the most stable structure does each one sit? In meV/atom: #1 13; #2 254; #3 0; #4 62.


#1
# Pm3ZnC PBE relaxed
# Total moment in μB/cell: 0.00
data_Pm3ZnC
_space_group_name_H-M_alt 'P m -3 m'
_space_group_IT_number 221
_space_group_name_Hall '-P 4 2 3'
_cell_length_a 5.039
_cell_length_b 5.039
_cell_length_c 5.039
_cell_angle_alpha 90.00
_cell_angle_beta 90.00
_cell_angle_gamma 90.00
loop_
_atom_site_label
_atom_site_type_symbol
_atom_site_fract_x
_atom_site_fract_y
_atom_site_fract_z
Pm1 Pm 0.000 0.000 0.500
Zn1 Zn 0.500 0.500 0.500
C1 C 0.000 0.000 0.000


#2
# Pm3ZnC PBE relaxed
# Total moment in μB/cell: 0.00
data_Pm3ZnC
_space_group_name_H-M_alt 'C 1 2/m 1'
_space_group_IT_number 12
_cell_length_a 14.994
_cell_length_b 3.732
_cell_length_c 8.888
_cell_angle_alpha 90.00
_cell_angle_beta 92.40
_cell_angle_gamma 90.00
loop_
_space_group_symop_operation_xyz
'x,y,z'
'-x,-y,-z'
'-x,y,-z'
'x,-y,z'
'x+1/2,y+1/2,z'
'-x+1/2,-y+1/2,-z'
'-x+1/2,y+1/2,-z'
'x+1/2,-y+1/2,z'
loop_
_atom_site_label
_atom_site_type_symbol
_atom_site_fract_x
_atom_site_fract_y
_atom_site_fract_z
Pm1 Pm 0.049 0.000 0.275
Pm2 Pm 0.150 0.500 0.966
Pm3 Pm 0.247 0.000 0.676
Zn1 Zn 0.087 0.500 0.559
C1 C 0.196 0.000 0.150


#3
# Pm3ZnC PBE relaxed
# Total moment in μB/cell: 0.00
data_Pm3ZnC
_space_group_name_H-M_alt 'P 1 21/c 1'
_space_group_IT_number 14
_cell_length_a 8.908
_cell_length_b 6.422
_cell_length_c 9.440
_cell_angle_alpha 90.00
_cell_angle_beta 115.18
_cell_angle_gamma 90.00
loop_
_space_group_symop_operation_xyz
'x,y,z'
'-x,-y,-z'
'-x,y+1/2,-z+1/2'
'x,-y+1/2,z+1/2'
loop_
_atom_site_label
_atom_site_type_symbol
_atom_site_fract_x
_atom_site_fract_y
_atom_site_fract_z
Pm1 Pm 0.082 0.068 0.361
Pm2 Pm 0.202 0.585 0.556
Pm3 Pm 0.360 0.107 0.766
Zn1 Zn 0.426 0.655 0.921
C1 C 0.081 0.249 0.607


How far above the most stable structure does each one sit? In meV/atom: #1 73; #2 0; #3 18.


#1
# PmZrC PBE relaxed
# Total moment in μB/cell: 0.52
data_PmZrC
_space_group_name_H-M_alt 'P 3 m 1'
_space_group_IT_number 156
_cell_length_a 3.4740
_cell_length_b 3.4740
_cell_length_c 6.0601
_cell_angle_alpha 90.00
_cell_angle_beta 90.00
_cell_angle_gamma 120.00
loop_
_space_group_symop_operation_xyz
'x,y,z'
'-y,x-y,z'
'-x+y,-x,z'
'-y,-x,z'
'-x+y,y,z'
'x,x-y,z'
loop_
_atom_site_label
_atom_site_type_symbol
_atom_site_fract_x
_atom_site_fract_y
_atom_site_fract_z
Pm1 Pm 0.0000 0.0000 0.0000
Zr1 Zr 0.3333 0.6667 0.5569
C1 C 0.6667 0.3333 0.7350


#2
# PmZrC PBE relaxed
# Total moment in μB/cell: 0.00
data_PmZrC
_space_group_name_H-M_alt 'C 1 2/m 1'
_space_group_IT_number 12
_cell_length_a 5.466
_cell_length_b 5.317
_cell_length_c 8.897
_cell_angle_alpha 90.00
_cell_angle_beta 91.79
_cell_angle_gamma 90.00
loop_
_space_group_symop_operation_xyz
'x,y,z'
'-x,-y,-z'
'-x,y,-z'
'x,-y,z'
'x+1/2,y+1/2,z'
'-x+1/2,-y+1/2,-z'
'-x+1/2,y+1/2,-z'
'x+1/2,-y+1/2,z'
loop_
_atom_site_label
_atom_site_type_symbol
_atom_site_fract_x
_atom_site_fract_y
_atom_site_fract_z
Pm1 Pm 0.220 0.000 0.312
Zr1 Zr 0.000 0.253 0.000
C1 C 0.228 0.000 0.824


How far above the most stable structure does each one sit? In meV/atom: #1 0; #2 460.


#1
# PrPuC PBE relaxed
# Total moment in μB/cell: 5.35
data_PrPuC
_space_group_name_H-M_alt 'P 3 m 1'
_space_group_IT_number 156
_cell_length_a 3.5300
_cell_length_b 3.5300
_cell_length_c 6.5361
_cell_angle_alpha 90.00
_cell_angle_beta 90.00
_cell_angle_gamma 120.00
loop_
_space_group_symop_operation_xyz
'x,y,z'
'-y,x-y,z'
'-x+y,-x,z'
'-y,-x,z'
'-x+y,y,z'
'x,x-y,z'
loop_
_atom_site_label
_atom_site_type_symbol
_atom_site_fract_x
_atom_site_fract_y
_atom_site_fract_z
Pr1 Pr 0.0000 0.0000 0.0000
Pu1 Pu 0.6667 0.3333 0.5559
C1 C 0.3333 0.6667 0.7522


#2
# PrPuC PBE relaxed
# Total moment in μB/cell: 10.12
data_PrPuC
_space_group_name_H-M_alt 'C m c m'
_space_group_IT_number 63
_space_group_name_Hall '-C 2c 2'
_cell_length_a 5.417
_cell_length_b 11.273
_cell_length_c 4.178
_cell_angle_alpha 90.00
_cell_angle_beta 90.00
_cell_angle_gamma 90.00
loop_
_atom_site_label
_atom_site_type_symbol
_atom_site_fract_x
_atom_site_fract_y
_atom_site_fract_z
Pr1 Pr 0.000 0.172 0.250
Pu1 Pu 0.000 0.449 0.250
C1 C 0.000 0.346 0.750


How far above the most stable structure does each one sit? In meV/atom: #1 0; #2 127.


#1
# PrPuC PBE relaxed
# Total moment in μB/cell: 23.30
data_PrPuC
_space_group_name_H-M_alt 'F -4 3 m'
_space_group_IT_number 216
_space_group_name_Hall 'F -4 2 3'
_cell_length_a 6.292
_cell_length_b 6.292
_cell_length_c 6.292
_cell_angle_alpha 90.00
_cell_angle_beta 90.00
_cell_angle_gamma 90.00
loop_
_atom_site_label
_atom_site_type_symbol
_atom_site_fract_x
_atom_site_fract_y
_atom_site_fract_z
Pr1 Pr 0.000 0.000 0.000
Pu1 Pu 0.000 0.000 0.500
C1 C 0.250 0.250 0.750


#2
# PrPuC PBE relaxed
# Total moment in μB/cell: 10.27
data_PrPuC
_space_group_name_H-M_alt 'I 4 m m'
_space_group_IT_number 107
_space_group_name_Hall 'I 4 -2'
_cell_length_a 3.229
_cell_length_b 3.229
_cell_length_c 12.253
_cell_angle_alpha 90.00
_cell_angle_beta 90.00
_cell_angle_gamma 90.00
loop_
_atom_site_label
_atom_site_type_symbol
_atom_site_fract_x
_atom_site_fract_y
_atom_site_fract_z
Pr1 Pr 0.000 0.000 0.000
Pu1 Pu 0.000 0.000 0.229
C1 C 0.000 0.000 0.637


How far above the most stable structure does each one sit? In meV/atom: #1 67; #2 0.